# 1
# Sb2AsPb (PBE, optimized geometry)
# volume: 26.729 Å³ per atom
# excess energy over the best structure of this formula in the dataset: 0.092 eV/atom
# mass density: 8.16 Mg/m³
# formation energy (no corrections): 117 meV per atom
data_Sb2AsPb
_chemical_formula_sum 'Sb4 As2 Pb2'
_cell_length_a 11.8775
_cell_length_b 3.7841
_cell_length_c 5.2930
_cell_angle_alpha 90.00
_cell_angle_beta 115.99
_cell_angle_gamma 90.00
_symmetry_space_group_name_H-M 'C 1 2/m 1'
_symmetry_Int_Tables_number 12
_symmetry_space_group_name_Hall '-C 2y'
loop_
_atom_site_label
_atom_site_type_symbol
_atom_site_fract_x
_atom_site_fract_y
_atom_site_fract_z
Sb1 Sb 0.2118 0.0000 0.2096
As1 As 0.0000 0.5000 0.0000
Pb1 Pb 0.0000 0.0000 0.5000

***

# 2
# NdSn3Rh2 (PBE, optimized geometry)
# volume: 21.465 Å³ per atom
# mass density: 9.10 Mg/m³
# DFT total energy: -0.21296 Ha/atom
data_NdSn3Rh2
_chemical_formula_sum 'Nd4 Sn12 Rh8'
_cell_length_a 8.9448
_cell_length_b 9.8640
_cell_length_c 5.8528
_cell_angle_alpha 90.00
_cell_angle_beta 93.96
_cell_angle_gamma 90.00
_symmetry_space_group_name_H-M 'C 1 2/m 1'
_symmetry_Int_Tables_number 12
_symmetry_space_group_name_Hall '-C 2y'
loop_
_atom_site_label
_atom_site_type_symbol
_atom_site_fract_x
_atom_site_fract_y
_atom_site_fract_z
Nd1 Nd 0.0974 0.0000 0.2710
Sn1 Sn 0.0680 0.5000 0.7722
Sn2 Sn 0.2354 0.1633 0.7572
Rh1 Rh 0.0000 0.2637 0.0000
Rh2 Rh 0.0000 0.2831 0.5000

***

# 3
# CdSi2Tc (PBE, optimized geometry)
# volume: 15.956 Å³ per atom
# mass density: 6.94 Mg/m³
# formation energy (no corrections): 462 meV per atom
data_CdSi2Tc
_chemical_formula_sum 'Cd1 Si2 Tc1'
_cell_length_a 3.2794
_cell_length_b 4.0530
_cell_length_c 4.8019
_cell_angle_alpha 90.00
_cell_angle_beta 90.00
_cell_angle_gamma 90.00
_symmetry_space_group_name_H-M 'P m m m'
_symmetry_Int_Tables_number 47
_symmetry_space_group_name_Hall '-P 2 2'
loop_
_atom_site_label
_atom_site_type_symbol
_atom_site_fract_x
_atom_site_fract_y
_atom_site_fract_z
Cd1 Cd 0.0000 0.0000 0.0000
Si1 Si 0.0000 0.5000 0.5000
Si2 Si 0.5000 0.5000 0.0000
Tc1 Tc 0.5000 0.0000 0.5000

***

# 4
# Cs2NbI6Br (PBE, optimized geometry)
# volume: 47.799 Å³ per atom
# excess energy over the best structure of this formula in the dataset: 0.000 eV/atom
# mass density: 4.17 Mg/m³
# formation energy (no corrections): -866 meV per atom
data_Cs2NbI6Br
_chemical_formula_sum 'Cs6 Nb3 I18 Br3'
_cell_length_a 9.9016
_cell_length_b 9.9016
_cell_length_c 16.8891
_cell_angle_alpha 90.00
_cell_angle_beta 90.00
_cell_angle_gamma 120.00
_symmetry_space_group_name_H-M 'R 3'
_symmetry_Int_Tables_number 146
_symmetry_space_group_name_Hall 'R 3'
loop_
_atom_site_label
_atom_site_type_symbol
_atom_site_fract_x
_atom_site_fract_y
_atom_site_fract_z
Cs1 Cs 0.0000 0.0000 0.0000
Cs2 Cs 0.0000 0.0000 0.4069
Nb1 Nb 0.0000 0.0000 0.7030
I1 I 0.0327 0.7875 0.7985
I2 I 0.1205 0.4216 0.2744
Br1 Br 0.0000 0.0000 0.2035

***

- Among the records above, which one has the lowest mass density?
  Cs2NbI6Br

***

- Number 3 is which compound?
  CdSi2Tc

***

- Look up the mass density of the third one.
  6.94 Mg/m³

***

- The highest mass density belongs to which entry?
  NdSn3Rh2